Material: MnTe2Ru
Method: DFT, PBE-GGA
State: relaxed

a b c (Å): 4.4601 4.4601 7.0327
angles (deg): 69.81 69.81 48.14
Site moments in Bohr magnetons follow the coordinates.
Positions (direct):
Mn1 0.5059 0.5059 0.4385  3.16
Ru1 0.2485 0.2485 0.3247  -0.08
Te1 0.0185 0.0185 0.1129  -0.06
Te2 0.7271 0.7271 0.6239  -0.06

Results
DOS at the Fermi energy = 2.6 states/eV per cell
Total magnetization = 0.769 μB per atom
Distance to the lowest polymorph of the same formula = 136.8 meV per atom
ΔE_f (raw) = 0.03 eV/atom
E = -0.2260 hartree per atom
SG = No. 8